No. 1
A plane-wave DFT calculation with PBE-GGA was carried out for an optimized crystal structure of NbFeCoBi.

Cell lengths 4.466, 4.466, 4.466 Å; angles 60.00, 60.00, 60.00 degrees
Site moments in Bohr magnetons follow the coordinates.
Atoms (fractional coordinates):
Nb 0.500 0.500 0.500  -0.20
Co 0.750 0.750 0.750  0.94
Bi 0.000 0.000 0.000  0.01
Fe 0.250 0.250 0.250  1.72

Results
Crystal system: cubic
Excess energy over the best structure of this formula in the dataset, meV per atom: 0
Volume, Å³/cell: 63

=====

No. 2
A plane-wave DFT calculation with PBE-GGA was carried out for an optimized crystal structure of FeCoBiPd.

Cell lengths 4.504, 4.504, 4.504 Å; angles 60.00, 60.00, 60.00 degrees
Site moments in Bohr magnetons follow the coordinates.
Atoms (fractional coordinates):
Pd 0.250 0.250 0.250  0.05
Co 0.750 0.750 0.750  1.26
Bi 0.000 0.000 0.000  0.00
Fe 0.500 0.500 0.500  3.00

Results
Crystal system: cubic
Excess energy over the best structure of this formula in the dataset, meV per atom: 0
Volume, Å³/cell: 65

=====

No. 3
A plane-wave DFT calculation with PBE-GGA was carried out for an optimized crystal structure of FeCoReBi.

Cell lengths 4.445, 4.445, 4.445 Å; angles 60.00, 60.00, 60.00 degrees
Atoms (fractional coordinates):
Co 0.750 0.750 0.750
Re 0.250 0.250 0.250
Fe 0.500 0.500 0.500
Bi 0.000 0.000 0.000

Results
Crystal system: cubic
Excess energy over the best structure of this formula in the dataset, meV per atom: 0
Volume, Å³/cell: 62

=====

Repeat the first record exactly.
A plane-wave DFT calculation with PBE-GGA was carried out for an optimized crystal structure of NbFeCoBi.

Cell lengths 4.466, 4.466, 4.466 Å; angles 60.00, 60.00, 60.00 degrees
Site moments in Bohr magnetons follow the coordinates.
Atoms (fractional coordinates):
Nb 0.500 0.500 0.500  -0.20
Co 0.750 0.750 0.750  0.94
Bi 0.000 0.000 0.000  0.01
Fe 0.250 0.250 0.250  1.72

Results
Crystal system: cubic
Excess energy over the best structure of this formula in the dataset, meV per atom: 0
Volume, Å³/cell: 63

=====

- Number 1 is which compound?
  NbFeCoBi

=====

- Which value of excess energy over the best structure of this formula in the dataset does entry 1 give?
  0 meV per atom